## BaIn9Ir2 (SCAN)

Data for BaIn9Ir2 at its PBEsol-relaxed geometry.

```
data_BaIn9Ir2
_chemical_formula_sum 'Ba1 In9 Ir2'
_symmetry_space_group_name_H-M 'P 6/m m m'
_symmetry_Int_Tables_number 191
_symmetry_space_group_name_Hall '-P 6 2'
_cell_length_a 8.8709
_cell_length_b 8.8709
_cell_length_c 4.2523
_cell_angle_alpha 90.00
_cell_angle_beta 90.00
_cell_angle_gamma 120.00
loop_
_atom_site_label
_atom_site_type_symbol
_atom_site_fract_x
_atom_site_fract_y
_atom_site_fract_z
Ba1 Ba 0.0000 0.0000 0.0000
In1 In 0.0000 0.5000 0.0000
In2 In 0.2064 0.4128 0.5000
Ir1 Ir 0.3333 0.6667 0.0000
```

The calculation puts the formation enthalpy at 0 K at -36.5 kJ per mole of atoms. The total energy comes out at -40.564 eV per atom. The density of states at the Fermi level comes out at 0.1576 states/eV per atom. The value obtained for the total magnetic moment is 0.00 μB per formula unit.

## BaIn2Ir (SCAN)

Data for BaIn2Ir at its PBEsol-relaxed geometry.

```
data_BaIn2Ir
_chemical_formula_sum 'Ba4 In8 Ir4'
_symmetry_space_group_name_H-M 'F -4 3 m'
_symmetry_Int_Tables_number 216
_symmetry_space_group_name_Hall 'F -4 2 3'
_cell_length_a 7.2718
_cell_length_b 7.2718
_cell_length_c 7.2718
_cell_angle_alpha 90.00
_cell_angle_beta 90.00
_cell_angle_gamma 90.00
loop_
_atom_site_label
_atom_site_type_symbol
_atom_site_fract_x
_atom_site_fract_y
_atom_site_fract_z
Ba1 Ba 0.0000 0.0000 0.0000
In1 In 0.0000 0.0000 0.5000
In2 In 0.2500 0.2500 0.2500
Ir1 Ir 0.2500 0.2500 0.7500
```

The calculation puts the formation enthalpy at 0 K at 20.5 kJ per mole of atoms. The total energy comes out at -44.143 eV per atom. The density of states at the Fermi level comes out at 0.6145 states/eV per atom. The value obtained for the total magnetic moment is 0.00 μB per formula unit.

## BaIn3Ir (SCAN)

Data for BaIn3Ir at its PBEsol-relaxed geometry.

```
data_BaIn3Ir
_chemical_formula_sum 'Ba1 In3 Ir1'
_symmetry_space_group_name_H-M 'P m -3 m'
_symmetry_Int_Tables_number 221
_symmetry_space_group_name_Hall '-P 4 2 3'
_cell_length_a 5.1517
_cell_length_b 5.1517
_cell_length_c 5.1517
_cell_angle_alpha 90.00
_cell_angle_beta 90.00
_cell_angle_gamma 90.00
loop_
_atom_site_label
_atom_site_type_symbol
_atom_site_fract_x
_atom_site_fract_y
_atom_site_fract_z
Ba1 Ba 0.0000 0.0000 0.0000
In1 In 0.0000 0.5000 0.5000
Ir1 Ir 0.5000 0.5000 0.5000
```

The calculation puts the formation enthalpy at 0 K at -42.6 kJ per mole of atoms. The total energy comes out at -42.603 eV per atom. The density of states at the Fermi level comes out at 0.2863 states/eV per atom. The value obtained for the total magnetic moment is 0.00 μB per formula unit.

## Ba2InIr (SCAN)

Data for Ba2InIr at its PBEsol-relaxed geometry.

```
data_Ba2InIr
_chemical_formula_sum 'Ba4 In2 Ir2'
_symmetry_space_group_name_H-M 'C 1 m 1'
_symmetry_Int_Tables_number 8
_cell_length_a 8.7000
_cell_length_b 4.2847
_cell_length_c 8.6100
_cell_angle_alpha 90.00
_cell_angle_beta 106.80
_cell_angle_gamma 90.00
loop_
_symmetry_equiv_pos_as_xyz
'x,y,z'
'x,-y,z'
'x+1/2,y+1/2,z'
'x+1/2,-y+1/2,z'
loop_
_atom_site_label
_atom_site_type_symbol
_atom_site_fract_x
_atom_site_fract_y
_atom_site_fract_z
Ba1 Ba 0.0000 0.0000 0.0000
Ba2 Ba 0.1463 0.0000 0.5155
In1 In 0.3783 0.0000 0.2576
Ir1 Ir 0.1880 0.5000 0.2586
```

The calculation puts the formation enthalpy at 0 K at -32.1 kJ per mole of atoms. The total energy comes out at -46.229 eV per atom. The density of states at the Fermi level comes out at 0.7553 states/eV per atom. The value obtained for the total magnetic moment is 0.01 μB per formula unit.

## BaIn4Ir (SCAN)

Data for BaIn4Ir at its PBEsol-relaxed geometry.

```
data_BaIn4Ir
_chemical_formula_sum 'Ba2 In8 Ir2'
_symmetry_space_group_name_H-M 'P m m a'
_symmetry_Int_Tables_number 51
_cell_length_a 8.5706
_cell_length_b 4.3974
_cell_length_c 7.8674
_cell_angle_alpha 90.00
_cell_angle_beta 90.00
_cell_angle_gamma 90.00
loop_
_symmetry_equiv_pos_as_xyz
'x,y,z'
'-x,-y,-z'
'-x+1/2,-y,z'
'x+1/2,y,-z'
'x+1/2,-y,-z'
'-x+1/2,y,z'
'-x,y,-z'
'x,-y,z'
loop_
_atom_site_label
_atom_site_type_symbol
_atom_site_fract_x
_atom_site_fract_y
_atom_site_fract_z
Ba1 Ba 0.2500 0.0000 0.1099
In1 In 0.0000 0.0000 0.5000
In2 In 0.0680 0.5000 0.8010
In3 In 0.2500 0.5000 0.4464
Ir1 Ir 0.2500 0.0000 0.6870
```

The calculation puts the formation enthalpy at 0 K at -44.7 kJ per mole of atoms. The total energy comes out at -41.163 eV per atom. The density of states at the Fermi level comes out at 0.3364 states/eV per atom. The value obtained for the total magnetic moment is 0.00 μB per formula unit.

## BaIn2Ir (SCAN)

Data for BaIn2Ir at its PBEsol-relaxed geometry.

```
data_BaIn2Ir
_chemical_formula_sum 'Ba2 In4 Ir2'
_symmetry_space_group_name_H-M 'C m m m'
_symmetry_Int_Tables_number 65
_symmetry_space_group_name_Hall '-C 2 2'
_cell_length_a 5.9566
_cell_length_b 10.3130
_cell_length_c 3.1466
_cell_angle_alpha 90.00
_cell_angle_beta 90.00
_cell_angle_gamma 90.00
loop_
_atom_site_label
_atom_site_type_symbol
_atom_site_fract_x
_atom_site_fract_y
_atom_site_fract_z
Ba1 Ba 0.0000 0.0000 0.0000
In1 In 0.2500 0.2500 0.5000
Ir1 Ir 0.0000 0.5000 0.0000
```

The calculation puts the formation enthalpy at 0 K at 43.2 kJ per mole of atoms. The total energy comes out at -43.908 eV per atom. The density of states at the Fermi level comes out at 0.5894 states/eV per atom. The value obtained for the total magnetic moment is 0.00 μB per formula unit.

## BaInIr2 (SCAN)

Data for BaInIr2 at its PBEsol-relaxed geometry.

```
data_BaInIr2
_chemical_formula_sum 'Ba1 In1 Ir2'
_symmetry_space_group_name_H-M 'P 4 m m'
_symmetry_Int_Tables_number 99
_cell_length_a 3.4130
_cell_length_b 3.4130
_cell_length_c 7.7541
_cell_angle_alpha 90.00
_cell_angle_beta 90.00
_cell_angle_gamma 90.00
loop_
_symmetry_equiv_pos_as_xyz
'x,y,z'
'-y,x,z'
'-x,-y,z'
'y,-x,z'
'-x,y,z'
'y,x,z'
'x,-y,z'
'-y,-x,z'
loop_
_atom_site_label
_atom_site_type_symbol
_atom_site_fract_x
_atom_site_fract_y
_atom_site_fract_z
Ba1 Ba 0.0000 0.0000 0.0000
In1 In 0.5000 0.5000 0.3437
Ir1 Ir 0.0000 0.0000 0.5748
Ir2 Ir 0.5000 0.5000 0.6930
```

The calculation puts the formation enthalpy at 0 K at 15.6 kJ per mole of atoms. The total energy comes out at -53.622 eV per atom. The density of states at the Fermi level comes out at 0.8999 states/eV per atom. The value obtained for the total magnetic moment is 1.06 μB per formula unit.

## BaIn2Ir2 (SCAN)

Data for BaIn2Ir2 at its PBEsol-relaxed geometry.

```
data_BaIn2Ir2
_chemical_formula_sum 'Ba2 In4 Ir4'
_symmetry_space_group_name_H-M 'I 4/m m m'
_symmetry_Int_Tables_number 139
_symmetry_space_group_name_Hall '-I 4 2'
_cell_length_a 4.5540
_cell_length_b 4.5540
_cell_length_c 11.0516
_cell_angle_alpha 90.00
_cell_angle_beta 90.00
_cell_angle_gamma 90.00
loop_
_atom_site_label
_atom_site_type_symbol
_atom_site_fract_x
_atom_site_fract_y
_atom_site_fract_z
Ba1 Ba 0.0000 0.0000 0.0000
In1 In 0.0000 0.5000 0.2500
Ir1 Ir 0.0000 0.0000 0.3899
```

The calculation puts the formation enthalpy at 0 K at -36.8 kJ per mole of atoms. The total energy comes out at -50.086 eV per atom. The density of states at the Fermi level comes out at 0.4705 states/eV per atom. The value obtained for the total magnetic moment is 0.00 μB per formula unit.

Q: Which of these has the highest formation enthalpy at 0 K?
A: number 6

Q: Look up the total magnetic moment of the seventh one.
A: 1.06 μB per formula unit